! Na2In12Hg GGA-PBE optimized geometry; values from VASP
&SYSTEM
  ibrav = 0, nat = 30, ntyp = 3
/
ATOMIC_SPECIES
Na 22.99 Na.upf
In 114.82 In.upf
Hg 200.59 Hg.upf
ATOMIC_POSITIONS angstrom
Na 1.707 5.120 4.462
Na 1.707 5.120 14.248
Na 5.120 1.707 4.462
Na 5.120 1.707 14.248
In 0.001 6.826 7.574
In 6.826 0.001 11.135
In 6.826 3.413 7.574
In 0.001 3.414 11.135
In 0.572 3.986 1.268
In 0.572 6.255 17.442
In 1.707 1.707 2.920
In 1.707 1.707 5.776
In 1.707 1.707 12.933
In 1.707 1.707 15.789
In 2.841 3.986 17.442
In 2.841 6.255 1.268
In 3.414 0.001 7.574
In 3.413 6.826 11.135
In 3.413 3.414 7.574
In 3.414 3.413 11.135
In 3.986 0.572 17.442
In 3.986 2.841 1.268
In 5.120 5.120 2.920
In 5.120 5.120 5.776
In 5.120 5.120 12.933
In 5.120 5.120 15.789
In 6.255 0.572 1.268
In 6.255 2.841 17.442
Hg 1.707 5.120 9.355
Hg 5.120 1.707 9.355
CELL_PARAMETERS angstrom
6.827 0.000 0.000
0.000 6.827 0.000
0.000 0.000 18.709
! - crystal system = tetragonal
! - magnetization (μB per atom) = 0.000
! - energy (eV/cell) = -71.7
! - volume (Å³/atom) = 29.1